(1)
# PBE BaNiCl, optimized geometry
data_BaNiCl
_chemical_formula_sum 'Ba1 Ni1 Cl1'
_space_group_name_H-M_alt 'P -6 m 2'
_space_group_IT_number 187
_space_group_name_Hall 'P -6 2'
_cell_length_a 4.5791
_cell_length_b 4.5791
_cell_length_c 4.0916
_cell_angle_alpha 90.00
_cell_angle_beta 90.00
_cell_angle_gamma 120.00
loop_
_atom_site_label
_atom_site_fract_x
_atom_site_fract_y
_atom_site_fract_z
Ba1 0.0000 0.0000 0.0000
Ni1 0.3333 0.6667 0.5000
Cl1 0.6667 0.3333 0.5000
# Energy above the lowest structure with this stoichiometry in kJ/mol of atoms: 3.3
# Density in kg/m3: 5173
# VASP energy in eV/cell: -11.0
# ΔE_f (raw) in eV per atom: -0.468
# D(E_F) in states/eV/atom: 1.11



(2)
# PBE BaNiCl6, optimized geometry
data_BaNiCl6
_chemical_formula_sum 'Ba1 Ni1 Cl6'
_space_group_name_H-M_alt 'P -1'
_space_group_IT_number 2
_cell_length_a 6.2447
_cell_length_b 6.3879
_cell_length_c 6.3890
_cell_angle_alpha 96.77
_cell_angle_beta 109.89
_cell_angle_gamma 111.65
loop_
_space_group_symop_operation_xyz
'x,y,z'
'-x,-y,-z'
loop_
_atom_site_label
_atom_site_fract_x
_atom_site_fract_y
_atom_site_fract_z
Ba1 0.0000 0.0000 0.0000
Ni1 0.0000 0.5000 0.5000
Cl1 0.1873 0.2896 0.6710
Cl2 0.2159 0.5408 0.2792
Cl3 0.3237 0.8324 0.7681
# Density in kg/m3: 3173
# VASP energy in eV/cell: -27.7
# ΔE_f (raw) in eV per atom: -1.120
# D(E_F) in states/eV/atom: 0.17